No. 1
# meta-GGA SCAN InAg3, PBEsol geometry
# DFT formation energy = 5.5 kJ per mole of atoms
# total magnetic moment = 0.00 μB per formula unit
# N(E_F) = 1.2 states/eV/f.u.
data_InAg3
_chemical_formula_sum 'In3 Ag9'
_space_group_name_H-M_alt 'R -3 m'
_space_group_IT_number 166
_space_group_name_Hall '-R 3 2"'
_cell_length_a 3.0037
_cell_length_b 3.0037
_cell_length_c 27.7949
_cell_angle_alpha 90.00
_cell_angle_beta 90.00
_cell_angle_gamma 120.00
loop_
_atom_site_label
_atom_site_fract_x
_atom_site_fract_y
_atom_site_fract_z
In1 0.0000 0.0000 0.0000
Ag1 0.0000 0.0000 0.2474
Ag2 0.0000 0.0000 0.5000


No. 2
# meta-GGA SCAN Li2NiP4O12, PBEsol geometry
# uncorrected formation energy = -2311 meV/atom
# total magnetic moment = 0.06 μB per formula unit
# N(E_F) = 0.0 states/eV/f.u.
# excess energy over the best structure of this formula in the dataset = 48 meV/atom
data_Li2NiP4O12
_chemical_formula_sum 'Li2 Ni1 P4 O12'
_space_group_name_H-M_alt 'P -1'
_space_group_IT_number 2
_cell_length_a 5.192
_cell_length_b 6.813
_cell_length_c 7.031
_cell_angle_alpha 108.42
_cell_angle_beta 95.22
_cell_angle_gamma 105.21
loop_
_space_group_symop_operation_xyz
'x,y,z'
'-x,-y,-z'
loop_
_atom_site_label
_atom_site_fract_x
_atom_site_fract_y
_atom_site_fract_z
Li1 0.154 0.223 0.073
Ni1 0.500 0.500 0.500
P1 0.174 0.711 0.290
P2 0.367 0.925 0.728
O1 0.077 0.323 0.848
O2 0.178 0.873 0.514
O3 0.200 0.937 0.889
O4 0.229 0.509 0.314
O5 0.441 0.835 0.226
O6 0.461 0.229 0.306